[1]
VASP calculation (PBE) on a relaxed structure of Zr2AuSe.

Calculated values
E_form (uncorrected)   -0.546 eV/atom
SG   I-42d, No. 122
Electronic total energy   -6.5103 eV/atom
Calculated density   8816 kg/m3

a = 7.378 Å, b = 7.378 Å, c = 6.106 Å
α = 52.83°, β = 52.83°, γ = 90.00°
Fractional positions:
Au: 0.000 0.000 0.000
Au: 0.750 0.250 0.500
Se: 0.500 0.500 0.000
Se: 0.250 0.750 0.500
Zr: 0.610 0.125 0.250
Zr: 0.140 0.625 0.250
Zr: 0.375 0.390 0.750
Zr: 0.875 0.860 0.750

[2]
VASP calculation (PBE) on a relaxed structure of BaZnAu2O.

Calculated values
E_form (uncorrected)   -0.076 eV/atom
SG   P4/mmm, No. 123
Electronic total energy   -3.0177 eV/atom
Calculated density   8946 kg/m3

a = 4.670 Å, b = 5.214 Å, c = 4.670 Å
α = 90.00°, β = 90.00°, γ = 90.00°
Fractional positions:
Zn: 0.000 0.500 0.000
Au: 0.000 0.000 0.500
Au: 0.500 0.000 0.000
Ba: 0.500 0.500 0.500
O: 0.000 0.000 0.000

[3]
VASP calculation (PBE) on a relaxed structure of YPaBi6.

Calculated values
SG   Amm2, No. 38
Electronic total energy   -5.1050 eV/atom
Calculated density   10223 kg/m3
Formation enthalpy at 0 K   -0.199 eV per atom

a = 4.457 Å, b = 4.540 Å, c = 12.829 Å
α = 90.00°, β = 100.00°, γ = 90.00°
Fractional positions:
Y: 0.823 0.000 0.646
Pa: 0.173 0.500 0.346
Bi: 0.573 0.500 0.146
Bi: 0.419 0.000 0.838
Bi: 0.300 0.500 0.600
Bi: 0.694 0.000 0.387
Bi: 0.946 0.500 0.893
Bi: 0.071 0.000 0.143

Q: Look up the calculated density of the second one.
A: 8946 kg/m3

Q: The lowest electronic total energy belongs to which entry?
A: Zr2AuSe

Q: electronic total energy of number 3 (YPaBi6)?
A: -5.1050 eV/atom